1.
Crystalline Mn2NiPdN at its relaxed geometry, computed with GGA-PBE.

Cell lengths 3.752, 3.752, 3.881 Å; angles 90.00, 90.00, 90.00 degrees
Fractional coordinates of all 5 atoms:
Ni: 0.000 0.000 0.500
Mn: 0.000 0.500 0.000
Mn: 0.500 0.000 0.000
Pd: 0.500 0.500 0.500
N: 0.000 0.000 0.000

Results
Uncorrected energy in eV per formula unit: -37.70
Magnetic moment in μB per atom: 0.000

***

2.
Crystalline MnNi2PdN at its relaxed geometry, computed with GGA-PBE.

Cell lengths 4.267, 4.651, 4.267 Å; angles 90.00, 90.00, 90.00 degrees
Each line ends with the local moment (μB).
Fractional coordinates of all 5 atoms:
Ni: 0.000 0.000 0.500  -0.35
Ni: 0.500 0.000 0.000  -0.10
Mn: 0.000 0.000 0.000  -2.75
Pd: 0.000 0.500 0.000  -0.10
N: 0.500 0.500 0.500  1.20

Results
Polymorph energy (0 for the lowest one) in kJ per mole of atoms: 217.6
Magnetic moment in μB per atom: 0.359